[1]
The following is a PBE calculation of RbSnBiSe3 after structural relaxation, from Alexandria.

Cell: 4.2521 8.9100 11.9260 Å, 109.47 90.00 90.00°
Closest atoms and distances in Å follow each position.
Sites, in units of the cell vectors:
Se  0.2500  0.6117  0.9009  3 Bi 2.92-2.95
Se  0.7500  0.8856  0.2207  1 Sn 2.69
Se  0.2500  0.6419  0.4055  2 Sn 2.80, 1 Bi 3.02
Se  0.7500  0.3883  0.0991  3 Bi 2.92-2.95
Se  0.2500  0.1144  0.7793  1 Sn 2.69
Se  0.7500  0.3581  0.5945  2 Sn 2.80, 1 Bi 3.02
Rb  0.7500  0.7782  0.7379  5 Se 3.53-3.57, 1 Sn 3.87
Rb  0.2500  0.2218  0.2621  5 Se 3.53-3.57, 1 Sn 3.87
Sn  0.2500  0.1436  0.5622  3 Se 2.69-2.80
Sn  0.7500  0.8564  0.4378  3 Se 2.69-2.80
Bi  0.2500  0.6311  0.1499  6 Se 2.92-3.02
Bi  0.7500  0.3689  0.8501  6 Se 2.92-3.02

Values from the calculation:
raw formation energy = -659 meV per atom

***

[2]
The following is a PBE calculation of IrPd3Rh after structural relaxation, from Alexandria.

Cell: 4.7575 4.7575 4.7575 Å, 90.00 90.00 90.00°
Closest atoms and distances in Å follow each position.
Sites, in units of the cell vectors:
Ir  0.0000  0.0000  0.0000  6 Pd 2.38
Pd  0.0000  0.5000  0.0000  2 Ir 2.38
Pd  0.5000  0.0000  0.0000  2 Ir 2.38
Pd  0.0000  0.0000  0.5000  2 Ir 2.38
Rh  0.5000  0.5000  0.5000  12 Pd 3.36

Values from the calculation:
DOS at the Fermi energy = 2.30 states/eV/atom
energy above the lowest structure with this stoichiometry = 0.0000 eV/atom
energy of formation = 1512.8 meV per atom

***

[3]
The following is a PBE calculation of Sc2Ga5Pt3 after structural relaxation, from Alexandria.

Cell: 4.2553 6.5815 12.5065 Å, 90.00 99.79 90.00°
Closest atoms and distances in Å follow each position.
Sites, in units of the cell vectors:
Ga  0.2948  0.9319  0.5896  4 Pt 2.54-2.59, 1 Ga 2.77
Ga  0.1218  0.2589  0.2437  4 Pt 2.56-2.74, 1 Ga 2.74
Ga  0.8782  0.7589  0.7563  4 Pt 2.56-2.74, 1 Ga 2.74
Ga  0.0494  0.5740  0.0987  4 Pt 2.54-2.61, 1 Ga 2.74
Ga  0.3967  0.4087  0.7935  3 Pt 2.53-2.61, 1 Ga 2.64
Ga  0.7067  0.0103  0.4133  3 Pt 2.55-2.57, 2 Ga 2.64-2.77
Ga  0.2933  0.5103  0.5867  3 Pt 2.55-2.57, 2 Ga 2.64-2.77
Ga  0.9506  0.0740  0.9013  4 Pt 2.54-2.61, 1 Ga 2.74
Ga  0.7052  0.4319  0.4104  4 Pt 2.54-2.59, 1 Ga 2.77
Ga  0.6033  0.9087  0.2065  3 Pt 2.53-2.61, 1 Ga 2.64
Pt  0.9500  0.4703  0.9001  5 Ga 2.53-2.61
Pt  0.3957  0.0124  0.7914  6 Ga 2.54-2.74, 1 Sc 2.78
Pt  0.2251  0.2188  0.4502  7 Ga 2.55-2.59
Pt  0.7749  0.7188  0.5498  7 Ga 2.55-2.59
Pt  0.6043  0.5124  0.2086  6 Ga 2.54-2.74, 1 Sc 2.78
Pt  0.0500  0.9703  0.0999  5 Ga 2.53-2.61
Sc  0.5158  0.2500  0.0316  5 Pt 2.78-3.04, 4 Ga 2.91-3.12
Sc  0.1737  0.7294  0.3474  9 Ga 2.93-3.28, 4 Pt 3.08-3.28
Sc  0.8263  0.2294  0.6526  9 Ga 2.93-3.28, 4 Pt 3.08-3.28
Sc  0.4842  0.7500  0.9684  5 Pt 2.78-3.04, 4 Ga 2.91-3.12

Values from the calculation:
DOS at the Fermi energy = 0.51 states/eV/atom
energy of formation = -843.6 meV per atom

***

[4]
The following is a PBE calculation of Co7W6 after structural relaxation, from Alexandria.

Cell: 8.9741 8.9741 8.9741 Å, 30.70 30.70 30.70°
Closest atoms and distances in Å follow each position.
Sites, in units of the cell vectors:
W  0.9500  0.9500  0.9500  2 W 2.56-2.64, 6 Co 2.58
W  0.8468  0.8468  0.8468  4 W 2.64-2.83, 12 Co 2.69-2.88
W  0.1532  0.1532  0.1532  4 W 2.64-2.83, 12 Co 2.69-2.88
W  0.6658  0.6658  0.6658  6 Co 2.66-2.70, 3 W 2.74
W  0.0500  0.0500  0.0500  2 W 2.56-2.64, 6 Co 2.58
W  0.3342  0.3342  0.3342  6 Co 2.66-2.70, 3 W 2.74
Co  0.5000  0.5000  0.5000  6 Co 2.40
Co  0.4100  0.9107  0.4100  5 Co 2.37-2.40, 2 W 2.58
Co  0.4100  0.4100  0.9107  5 Co 2.37-2.40, 2 W 2.58
Co  0.0893  0.5900  0.5900  5 Co 2.37-2.40, 2 W 2.58
Co  0.5900  0.0893  0.5900  5 Co 2.37-2.40, 2 W 2.58
Co  0.5900  0.5900  0.0893  5 Co 2.37-2.40, 2 W 2.58
Co  0.9107  0.4100  0.4100  5 Co 2.37-2.40, 2 W 2.58

Values from the calculation:
DOS at the Fermi energy = 0.81 states/eV/atom
energy of formation = -43.6 meV per atom

***

Computed mass density (g cm⁻³) in order:
5.1 9.5 9.9 15.1
Computed electronic total energy (eV/atom) in order:
-3.876 -4.845 -5.436 -9.848